The following is a PBE calculation of HfScN2 after structural relaxation, from Alexandria via LeMat-Bulk.

Output
Volume: 10.919 A^3/atom
Size of the total moment: 0.000 μB per cell
Total DFT energy (no corrections): -36.23 eV/f.u.

abc: 3.9529 3.9529 3.9529
angles: 60.00 60.00 60.00
With the nearest neighbours (Å) after each atom.
Atoms (fractional coordinates):
Sc: 0.0000 0.0000 0.0000  8 N 2.42
Hf: 0.5000 0.5000 0.5000  8 N 2.42
N: 0.2500 0.2500 0.2500  4 Hf 2.42, 4 Sc 2.42
N: 0.7500 0.7500 0.7500  4 Hf 2.42, 4 Sc 2.42